Computed, not measured: La2ErPdO5 after structural relaxation at the PBE level of DFT.

Cell lengths 5.9153, 6.6811, 6.6811 Å; angles 90.00, 90.00, 90.00 degrees
Sites, in units of the cell vectors:
La  0.5000  0.6624  0.1624
La  0.5000  0.1624  0.3376
La  0.5000  0.8376  0.6624
La  0.5000  0.3376  0.8376
Er  0.0000  0.5000  0.5000
Er  0.0000  0.0000  0.0000
Pd  0.0000  0.0000  0.5000
Pd  0.0000  0.5000  0.0000
O  0.5000  0.5000  0.5000
O  0.5000  0.0000  0.0000
O  0.2285  0.1736  0.6736
O  0.2285  0.8264  0.3264
O  0.2285  0.3264  0.1736
O  0.2285  0.6736  0.8264
O  0.7715  0.1736  0.6736
O  0.7715  0.6736  0.8264
O  0.7715  0.8264  0.3264
O  0.7715  0.3264  0.1736

Output
Space group ... P4/mbm (127)
ρ ... 7.9 g/cm3
D(E_F) ... 0.001 states/eV per atom
Final energy ... -7.340 eV per atom
Crystal system ... tetragonal

Computed, not measured: Pu2GeO after structural relaxation at the PBE level of DFT.

Cell lengths 3.7290, 3.7290, 7.6788 Å; angles 75.95, 75.95, 60.00 degrees
Sites, in units of the cell vectors:
Pu  0.0615  0.0615  0.8156
Pu  0.2544  0.2544  0.2369
Ge  0.8262  0.8262  0.5213
O  0.3579  0.3579  0.9262

Output
Energy relative to the lowest polymorph listed for this composition ... 0.000 eV per atom
Space group ... R3m (160)
ρ ... 10.8 g/cm3
D(E_F) ... 3.460 states/eV per atom
Crystal system ... trigonal

Computed, not measured: LaPmDy4 after structural relaxation at the PBE level of DFT.

Cell lengths 5.0815, 8.0436, 11.3697 Å; angles 148.02, 90.00, 108.44 degrees
Sites, in units of the cell vectors:
La  0.0000  0.0000  0.0000
Pm  0.5000  0.0000  0.5000
Dy  0.8345  0.6695  0.5020
Dy  0.1655  0.3304  0.4980
Dy  0.3334  0.6672  0.0028
Dy  0.6665  0.3327  0.9972

Output
Energy relative to the lowest polymorph listed for this composition ... 0.000 eV per atom
Space group ... P-1 (2)
ΔH_f (0 K) ... 25 meV/atom
ρ ... 7.9 g/cm3
D(E_F) ... 1.475 states/eV per atom
Crystal system ... triclinic